# Li2AlSn

An optimized crystal structure of Li2AlSn (PBE, the Alexandria database).

Output
total moment: 0.000 μB/f.u.
N(E_F): 0.35 states/eV/atom
calculated density: 3.2 g cm⁻³
energy of formation: 0.0660 eV per atom
V: 20.74 Å³/atom
E: -22.618 eV for the cell shown

The structure in extended XYZ format:
```
8
Lattice="-2.289 -2.773 -6.730 7.266 -1.300 -1.936 2.323 -4.646 -3.201" Properties=species:S:1:pos:R:3 pbc="T T T"
Sn 1.261 -4.728 -7.132
Sn 0.000 0.000 0.000
Al 6.038 -3.991 -4.735
Al 2.488 -2.036 -4.333
Li 0.076 -3.035 -5.195
Li 3.666 -5.022 -5.666
Li 4.817 -2.342 -2.905
Li 6.039 -7.038 -9.968
```

---

# K3ZrPa3Te8

An optimized crystal structure of K3ZrPa3Te8 (PBE, the Alexandria database).

Output
total moment: 5.913 μB/f.u.
N(E_F): 1.19 states/eV/atom
calculated density: 5.7 g cm⁻³
V: 37.10 Å³/atom
E: -79.459 eV for the cell shown

The structure in extended XYZ format:
```
15
Lattice="-7.738 1.583 -3.398 1.811 -7.806 3.117 -1.559 7.116 6.865" Properties=species:S:1:pos:R:3 pbc="T T T"
Te -2.053 1.793 5.510
Te -6.364 3.116 -0.530
Te -5.433 -0.900 1.073
Te -5.973 2.543 3.907
Te -2.384 2.301 1.218
Te -5.102 -1.408 5.366
Te -1.122 -2.223 7.114
Te -1.513 -1.650 2.676
K 0.905 -3.903 1.559
K 0.000 0.000 0.000
K -2.964 -3.111 -0.141
Pa -4.648 4.350 1.733
Pa -3.743 0.447 3.292
Pa 0.126 -0.345 4.991
Zr -0.779 3.558 3.432
```

---

# Rb2NiI

An optimized crystal structure of Rb2NiI (PBE, the Alexandria database).

Output
total moment: 1.000 μB/f.u.
N(E_F): 7.09 states/eV/atom
calculated density: 3.5 g cm⁻³
V: 42.20 Å³/atom
E: -9.608 eV for the cell shown

The structure in extended XYZ format:
```
4
Lattice="0.000 4.387 4.387 4.387 0.000 4.387 4.387 4.387 0.000" Properties=species:S:1:pos:R:3 pbc="T T T"
Rb 2.193 2.193 2.193
Rb 6.580 6.580 6.580
Ni 0.000 0.000 0.000
I 4.387 4.387 4.387
```

---

# KSn4Se8

An optimized crystal structure of KSn4Se8 (PBE, the Alexandria database).

Output
total moment: 0.000 μB/f.u.
N(E_F): 0.21 states/eV/atom
calculated density: 4.3 g cm⁻³
V: 34.29 Å³/atom
E: -51.413 eV for the cell shown

The structure in extended XYZ format:
```
13
Lattice="7.115 0.000 3.245 2.818 6.534 3.245 -0.059 -0.039 9.552" Properties=species:S:1:pos:R:3 pbc="T T T"
Se 6.227 1.771 5.193
Se 7.626 5.016 6.805
Se 2.248 1.479 9.237
Se 3.648 4.724 10.848
Se 5.782 1.479 10.848
Se 2.673 1.758 3.562
Se 7.201 4.737 12.479
Se 4.092 5.016 5.193
Sn 3.558 0.000 1.622
Sn 1.409 3.267 1.622
Sn 0.000 0.000 0.000
Sn 4.966 3.267 3.245
K 4.937 3.248 8.021
```

---

# BeCoBRh

An optimized crystal structure of BeCoBRh (PBE, the Alexandria database).

Output
total moment: 0.000 μB/f.u.
N(E_F): 0.49 states/eV/atom
calculated density: 8.2 g cm⁻³
energy of formation: -0.3266 eV per atom
V: 9.19 Å³/atom
E: -26.167 eV for the cell shown

The structure in extended XYZ format:
```
4
Lattice="-2.726 -0.284 -2.533 -3.413 -1.089 1.046 -2.818 2.447 0.009" Properties=species:S:1:pos:R:3 pbc="T T T"
Rh -2.239 0.268 -0.370
Be -4.479 0.537 -0.739
B 0.000 0.000 0.000
Co -6.718 0.805 -1.109
```

---

# BeFeRu2

An optimized crystal structure of BeFeRu2 (PBE, the Alexandria database).

Output
total moment: 2.075 μB/f.u.
N(E_F): 0.98 states/eV/atom
calculated density: 9.1 g cm⁻³
energy of formation: 0.0314 eV per atom
V: 12.20 Å³/atom
E: -30.615 eV for the cell shown

The structure in extended XYZ format:
```
4
Lattice="-1.006 2.670 2.308 -2.492 -0.087 -0.985 -3.694 -3.485 2.423" Properties=species:S:1:pos:R:3 pbc="T T T"
Ru -3.690 -3.473 2.411
Ru -2.074 0.393 1.559
Fe -5.115 -1.290 2.182
Be -3.099 -1.803 0.736
```

---

# Sc3Cd2

An optimized crystal structure of Sc3Cd2 (PBE, the Alexandria database).

Output
total moment: 0.000 μB/f.u.
N(E_F): 1.15 states/eV/atom
calculated density: 5.2 g cm⁻³
energy of formation: -0.1315 eV per atom
V: 22.79 Å³/atom
E: -42.965 eV for the cell shown
energy above the most stable polymorph in this dataset: 0.083 eV per atom

The structure in extended XYZ format:
```
10
Lattice="0.000 5.204 7.514 2.914 0.000 7.514 2.914 5.204 0.000" Properties=species:S:1:pos:R:3 pbc="T T T"
Cd 3.589 5.423 11.991
Cd 3.589 4.985 3.036
Cd 2.132 2.821 6.793
Cd 2.132 7.587 8.234
Sc 4.916 8.148 12.783
Sc 1.935 2.602 3.757
Sc 3.459 5.546 6.001
Sc 3.459 4.863 9.026
Sc 0.478 5.204 7.514
Sc 4.916 7.465 9.758
```

---

# LiCuMo

An optimized crystal structure of LiCuMo (PBE, the Alexandria database).

Output
total moment: 0.000 μB/f.u.
N(E_F): 0.62 states/eV/atom
calculated density: 6.5 g cm⁻³
energy of formation: 0.2496 eV per atom
V: 14.12 Å³/atom
E: -32.184 eV for the cell shown
energy above the most stable polymorph in this dataset: 0.091 eV per atom

The structure in extended XYZ format:
```
6
Lattice="2.552 0.000 -0.014 0.000 4.617 0.000 -0.569 0.000 7.196" Properties=species:S:1:pos:R:3 pbc="T T T"
Li 0.799 2.308 3.884
Li 1.927 2.308 1.298
Mo 2.123 0.000 2.953
Mo 1.454 0.000 5.344
Cu 0.057 2.308 6.203
Cu 0.773 0.000 0.549
```

---

# Y2Zn2Au

An optimized crystal structure of Y2Zn2Au (PBE, the Alexandria database).

Output
total moment: 0.000 μB/f.u.
N(E_F): 0.91 states/eV/atom
calculated density: 7.6 g cm⁻³
energy of formation: -0.5191 eV per atom
V: 22.24 Å³/atom
E: -42.698 eV for the cell shown
energy above the most stable polymorph in this dataset: 0.000 eV per atom

The structure in extended XYZ format:
```
10
Lattice="-1.163 0.569 -4.262 1.609 -4.306 -3.341 -9.197 -3.468 -0.280" Properties=species:S:1:pos:R:3 pbc="T T T"
Y -5.332 -5.155 -3.887
Y -3.419 -2.051 -3.995
Y 0.052 -3.464 -2.804
Y -8.803 -3.742 -5.079
Zn -1.193 -0.846 -2.115
Zn -4.782 -3.156 -1.444
Zn -3.970 -4.050 -6.439
Zn -7.558 -6.360 -5.768
Au -6.635 -2.480 -3.175
Au -2.116 -4.726 -4.708
```

---

Repeat the fourth record exactly.
# KSn4Se8

An optimized crystal structure of KSn4Se8 (PBE, the Alexandria database).

Output
total moment: 0.000 μB/f.u.
N(E_F): 0.21 states/eV/atom
calculated density: 4.3 g cm⁻³
V: 34.29 Å³/atom
E: -51.413 eV for the cell shown

The structure in extended XYZ format:
```
13
Lattice="7.115 0.000 3.245 2.818 6.534 3.245 -0.059 -0.039 9.552" Properties=species:S:1:pos:R:3 pbc="T T T"
Se 6.227 1.771 5.193
Se 7.626 5.016 6.805
Se 2.248 1.479 9.237
Se 3.648 4.724 10.848
Se 5.782 1.479 10.848
Se 2.673 1.758 3.562
Se 7.201 4.737 12.479
Se 4.092 5.016 5.193
Sn 3.558 0.000 1.622
Sn 1.409 3.267 1.622
Sn 0.000 0.000 0.000
Sn 4.966 3.267 3.245
K 4.937 3.248 8.021
```